# 1
Computed, not measured: a crystal of Zn2As relaxed with PBEsol at the meta-GGA SCAN level of DFT.

Unit cell a=5.414 b=5.414 c=5.414 alpha=90.00 beta=90.00 gamma=90.00
Atoms (fractional coordinates):
1 Zn 0.250 0.750 0.750
2 Zn 0.750 0.250 0.750
3 Zn 0.750 0.750 0.250
4 Zn 0.250 0.250 0.250
5 As 0.000 0.000 0.000
6 As 0.500 0.500 0.500

Values from the calculation:
D(E_F) ... 0.550 states/eV per atom
Excess energy over the best structure of this formula in the dataset ... 145.7 meV/atom
Energy of formation ... 0.35 eV per atom
DFT total energy ... -15.3900 eV per atom

# 2
Computed, not measured: a crystal of CdRhW2 relaxed with PBEsol at the meta-GGA SCAN level of DFT.

Unit cell a=2.727 b=5.046 c=5.046 alpha=115.97 beta=90.09 gamma=90.09
Atoms (fractional coordinates):
1 Cd 0.500 0.500 0.500
2 Rh 0.500 0.000 0.000
3 W 0.000 0.000 0.500
4 W 0.000 0.500 0.000

Values from the calculation:
D(E_F) ... 0.530 states/eV per atom
Energy of formation ... 0.41 eV per atom
DFT total energy ... -50.4817 eV per atom

# 3
Computed, not measured: a crystal of CdInHg2 relaxed with PBEsol at the meta-GGA SCAN level of DFT.

Unit cell a=3.729 b=4.841 c=5.189 alpha=90.00 beta=90.00 gamma=90.00
Atoms (fractional coordinates):
1 In 0.500 0.500 0.000
2 Hg 0.000 0.000 0.000
3 Hg 0.500 0.000 0.500
4 Cd 0.000 0.500 0.500

Values from the calculation:
D(E_F) ... 0.336 states/eV per atom
Energy of formation ... 0.04 eV per atom
DFT total energy ... -49.9885 eV per atom

# 4
Computed, not measured: a crystal of Zn2ReSe relaxed with PBEsol at the meta-GGA SCAN level of DFT.

Unit cell a=4.440 b=4.440 c=4.440 alpha=60.00 beta=60.00 gamma=60.00
Site moments in Bohr magnetons follow the coordinates.
Atoms (fractional coordinates):
1 Re 0.000 0.000 0.000  0.81
2 Se 0.500 0.500 0.500  -0.08
3 Zn 0.250 0.250 0.250  0.00
4 Zn 0.750 0.750 0.750  0.00

Values from the calculation:
D(E_F) ... 0.436 states/eV per atom
Excess energy over the best structure of this formula in the dataset ... 564.4 meV/atom
Formation energy from raw total energies ... 0.938 eV per atom
DFT total energy ... -28.6140 eV per atom

# 5
Computed, not measured: a crystal of Br3Cl relaxed with PBEsol at the meta-GGA SCAN level of DFT.

Unit cell a=4.720 b=4.184 c=6.967 alpha=90.00 beta=90.00 gamma=90.00
Atoms (fractional coordinates):
1 Br 0.000 0.000 0.874
2 Br 0.000 0.500 0.391
3 Br 0.500 0.500 0.276
4 Cl 0.500 0.000 0.793

Values from the calculation:
D(E_F) ... 0.255 states/eV per atom
Formation energy from raw total energies ... 0.089 eV per atom
DFT total energy ... -16.5004 eV per atom

# 6
Computed, not measured: a crystal of MgSc2Fe relaxed with PBEsol at the meta-GGA SCAN level of DFT.

Unit cell a=4.146 b=4.146 c=5.224 alpha=113.38 beta=113.38 gamma=90.00
Site moments in Bohr magnetons follow the coordinates.
Atoms (fractional coordinates):
1 Fe 0.500 0.500 0.000  2.59
2 Mg 0.250 0.750 0.500  -0.03
3 Sc 0.000 0.000 0.000  -0.52
4 Sc 0.750 0.250 0.500  -0.47

Values from the calculation:
D(E_F) ... 0.847 states/eV per atom
Energy of formation ... 0.13 eV per atom
DFT total energy ... -12.7635 eV per atom

# 7
Computed, not measured: a crystal of K6Al4Si6BH4ClO24 relaxed with PBEsol at the meta-GGA SCAN level of DFT.

Unit cell a=9.848 b=9.848 c=13.092 alpha=90.00 beta=90.00 gamma=90.00
Atoms (fractional coordinates):
1 K 0.500 0.500 0.750
2 K 0.000 0.000 0.750
3 K 0.500 0.500 0.250
4 K 0.000 0.000 0.250
5 K 0.715 0.722 0.561
6 K 0.215 0.778 0.939
7 K 0.285 0.278 0.561
8 K 0.785 0.222 0.939
9 K 0.722 0.285 0.439
10 K 0.778 0.785 0.061
11 K 0.278 0.715 0.439
12 K 0.222 0.215 0.061
13 Al 0.893 0.659 0.815
14 Al 0.393 0.841 0.685
15 Al 0.107 0.341 0.815
16 Al 0.607 0.159 0.685
17 Al 0.659 0.107 0.185
18 Al 0.841 0.607 0.315
19 Al 0.341 0.893 0.185
20 Al 0.159 0.393 0.315
21 Si 0.658 0.888 0.805
22 Si 0.158 0.612 0.695
23 Si 0.342 0.112 0.805
24 Si 0.842 0.388 0.695
25 Si 0.888 0.342 0.195
26 Si 0.612 0.842 0.305
27 Si 0.112 0.658 0.195
28 Si 0.388 0.158 0.305
29 Si 0.000 0.500 0.508
30 Si 0.500 0.000 0.992
31 Si 0.500 0.000 0.492
32 Si 0.000 0.500 0.008
33 B 0.500 0.500 0.000
34 B 0.000 0.000 0.500
35 H 0.693 0.499 0.056
36 H 0.193 0.001 0.444
37 H 0.307 0.501 0.056
38 H 0.807 0.999 0.444
39 H 0.499 0.307 0.944
40 H 0.001 0.807 0.556
41 H 0.501 0.693 0.944
42 H 0.999 0.193 0.556
43 Cl 0.500 0.500 0.500
44 Cl 0.000 0.000 0.000
45 O 0.801 0.809 0.817
46 O 0.301 0.691 0.683
47 O 0.199 0.191 0.817
48 O 0.699 0.309 0.683
49 O 0.809 0.199 0.183
50 O 0.691 0.699 0.317
51 O 0.191 0.801 0.183
52 O 0.309 0.301 0.317
53 O 0.909 0.603 0.941
54 O 0.409 0.897 0.559
55 O 0.091 0.397 0.941
56 O 0.591 0.103 0.559
57 O 0.603 0.091 0.059
58 O 0.897 0.591 0.441
59 O 0.397 0.909 0.059
60 O 0.103 0.409 0.441
61 O 0.586 0.892 0.920
62 O 0.086 0.608 0.580
63 O 0.414 0.108 0.920
64 O 0.914 0.392 0.580
65 O 0.892 0.414 0.080
66 O 0.608 0.914 0.420
67 O 0.108 0.586 0.080
68 O 0.392 0.086 0.420
69 O 0.558 0.805 0.728
70 O 0.058 0.695 0.772
71 O 0.442 0.195 0.728
72 O 0.942 0.305 0.772
73 O 0.805 0.442 0.272
74 O 0.695 0.942 0.228
75 O 0.195 0.558 0.272
76 O 0.305 0.058 0.228
77 O 0.814 0.543 0.731
78 O 0.314 0.957 0.769
79 O 0.186 0.457 0.731
80 O 0.686 0.043 0.769
81 O 0.543 0.186 0.269
82 O 0.957 0.686 0.231
83 O 0.457 0.814 0.269
84 O 0.043 0.314 0.231
85 O 0.944 0.888 0.564
86 O 0.444 0.612 0.936
87 O 0.056 0.112 0.564
88 O 0.556 0.388 0.936
89 O 0.888 0.056 0.436
90 O 0.612 0.556 0.064
91 O 0.112 0.944 0.436
92 O 0.388 0.444 0.064

Values from the calculation:
D(E_F) ... 0.000 states/eV per atom
DFT total energy ... -9.6802 eV per atom

# 8
Computed, not measured: a crystal of SrIn2Os relaxed with PBEsol at the meta-GGA SCAN level of DFT.

Unit cell a=4.962 b=4.962 c=4.962 alpha=60.00 beta=60.00 gamma=60.00
Atoms (fractional coordinates):
1 In 0.000 0.000 0.000
2 In 0.750 0.750 0.750
3 Os 0.500 0.500 0.500
4 Sr 0.250 0.250 0.250

Values from the calculation:
D(E_F) ... 0.742 states/eV per atom
Energy of formation ... 0.50 eV per atom
DFT total energy ... -39.7303 eV per atom

# 9
Computed, not measured: a crystal of Rb2CuBiBr6 relaxed with PBEsol at the meta-GGA SCAN level of DFT.

Unit cell a=7.666 b=7.666 c=7.666 alpha=60.00 beta=60.00 gamma=60.00
Atoms (fractional coordinates):
1 Rb 0.750 0.750 0.750
2 Rb 0.250 0.250 0.250
3 Cu 0.500 0.500 0.500
4 Bi 0.000 0.000 0.000
5 Br 0.738 0.262 0.262
6 Br 0.738 0.738 0.262
7 Br 0.262 0.738 0.738
8 Br 0.738 0.262 0.738
9 Br 0.262 0.738 0.262
10 Br 0.262 0.262 0.738

Values from the calculation:
Formation energy from raw total energies ... -1.130 eV per atom
DFT total energy ... -26.3318 eV per atom

# 10
Computed, not measured: a crystal of InHgRh relaxed with PBEsol at the meta-GGA SCAN level of DFT.

Unit cell a=4.455 b=4.455 c=4.455 alpha=60.00 beta=60.00 gamma=60.00
Atoms (fractional coordinates):
1 Hg 0.250 0.250 0.250
2 In 0.000 0.000 0.000
3 Rh 0.500 0.500 0.500

Values from the calculation:
D(E_F) ... 0.687 states/eV per atom
Excess energy over the best structure of this formula in the dataset ... 329.9 meV/atom
Energy of formation ... 0.30 eV per atom
DFT total energy ... -44.8033 eV per atom

# 11
Computed, not measured: a crystal of Sc2Al2Cu relaxed with PBEsol at the meta-GGA SCAN level of DFT.

Unit cell a=4.391 b=6.422 c=6.422 alpha=90.00 beta=90.00 gamma=90.00
Atoms (fractional coordinates):
1 Sc 0.500 0.166 0.666
2 Sc 0.500 0.666 0.834
3 Sc 0.500 0.834 0.334
4 Sc 0.500 0.334 0.166
5 Al 0.000 0.358 0.858
6 Al 0.000 0.858 0.642
7 Al 0.000 0.642 0.142
8 Al 0.000 0.142 0.358
9 Cu 0.000 0.000 0.000
10 Cu 0.000 0.500 0.500

Values from the calculation:
D(E_F) ... 0.821 states/eV per atom
Energy of formation ... -0.41 eV per atom
DFT total energy ... -12.2446 eV per atom

# 12
Computed, not measured: a crystal of CsCd2Ag2 relaxed with PBEsol at the meta-GGA SCAN level of DFT.

Unit cell a=5.023 b=5.023 c=6.501 alpha=112.73 beta=112.73 gamma=90.00
Atoms (fractional coordinates):
1 Cs 0.000 0.000 0.000
2 Ag 0.250 0.750 0.500
3 Ag 0.750 0.250 0.500
4 Cd 0.365 0.365 0.729
5 Cd 0.635 0.635 0.271

Values from the calculation:
D(E_F) ... 0.376 states/eV per atom
Energy of formation ... 0.03 eV per atom
DFT total energy ... -32.2422 eV per atom

# 13
Computed, not measured: a crystal of TaMnRu2 relaxed with PBEsol at the meta-GGA SCAN level of DFT.

Unit cell a=3.158 b=4.245 c=4.245 alpha=90.00 beta=90.00 gamma=90.00
Site moments in Bohr magnetons follow the coordinates.
Atoms (fractional coordinates):
1 Ru 0.000 0.000 0.500  0.11
2 Ru 0.000 0.500 0.000  0.11
3 Mn 0.500 0.000 0.000  3.69
4 Ta 0.500 0.500 0.500  -0.05

Values from the calculation:
D(E_F) ... 0.351 states/eV per atom
Excess energy over the best structure of this formula in the dataset ... 0.2 meV/atom
Energy of formation ... -0.47 eV per atom
DFT total energy ... -39.0955 eV per atom

# 14
Computed, not measured: a crystal of Na2PdPbS relaxed with PBEsol at the meta-GGA SCAN level of DFT.

Unit cell a=4.551 b=5.082 c=5.082 alpha=90.00 beta=90.00 gamma=90.00
Atoms (fractional coordinates):
1 Pb 0.500 0.500 0.500
2 Na 0.000 0.000 0.500
3 Na 0.000 0.500 0.000
4 S 0.000 0.000 0.000
5 Pd 0.500 0.000 0.000

Values from the calculation:
D(E_F) ... 0.649 states/eV per atom
Formation energy from raw total energies ... -0.336 eV per atom
DFT total energy ... -25.6586 eV per atom

# 15
Computed, not measured: a crystal of Zn2CrPt relaxed with PBEsol at the meta-GGA SCAN level of DFT.

Unit cell a=2.699 b=2.699 c=8.664 alpha=81.04 beta=81.04 gamma=60.00
Atoms (fractional coordinates):
1 Cr 0.500 0.500 0.500
2 Pt 0.000 0.000 0.000
3 Zn 0.248 0.248 0.257
4 Zn 0.752 0.752 0.743

Values from the calculation:
D(E_F) ... 0.799 states/eV per atom
Energy of formation ... 0.00 eV per atom
DFT total energy ... -28.8984 eV per atom

# 16
Computed, not measured: a crystal of CaTl2Hg2 relaxed with PBEsol at the meta-GGA SCAN level of DFT.

Unit cell a=4.601 b=4.601 c=7.261 alpha=108.47 beta=108.47 gamma=90.00
Atoms (fractional coordinates):
1 Tl 0.390 0.390 0.779
2 Tl 0.610 0.610 0.221
3 Ca 0.000 0.000 0.000
4 Hg 0.250 0.750 0.500
5 Hg 0.750 0.250 0.500

Values from the calculation:
D(E_F) ... 0.469 states/eV per atom
Excess energy over the best structure of this formula in the dataset ... 94.7 meV/atom
Energy of formation ... -0.15 eV per atom
DFT total energy ... -58.2918 eV per atom

# 17
Computed, not measured: a crystal of KY2Ti relaxed with PBEsol at the meta-GGA SCAN level of DFT.

Unit cell a=5.497 b=5.497 c=5.497 alpha=60.00 beta=60.00 gamma=60.00
Site moments in Bohr magnetons follow the coordinates.
Atoms (fractional coordinates):
1 Y 0.250 0.250 0.250  0.59
2 Y 0.750 0.750 0.750  0.59
3 K 0.000 0.000 0.000  0.04
4 Ti 0.500 0.500 0.500  1.88

Values from the calculation:
D(E_F) ... 2.036 states/eV per atom
Energy of formation ... 0.73 eV per atom
DFT total energy ... -19.2829 eV per atom

# 18
Computed, not measured: a crystal of Sr2Li3TaN4 relaxed with PBEsol at the meta-GGA SCAN level of DFT.

Unit cell a=6.948 b=8.648 c=8.919 alpha=90.00 beta=90.00 gamma=90.00
Atoms (fractional coordinates):
1 Sr 0.000 0.241 0.753
2 Sr 0.000 0.759 0.247
3 Sr 0.500 0.741 0.747
4 Sr 0.500 0.259 0.253
5 Sr 0.260 0.000 0.000
6 Sr 0.240 0.500 0.500
7 Sr 0.740 0.000 0.000
8 Sr 0.760 0.500 0.500
9 Li 0.238 0.020 0.365
10 Li 0.238 0.980 0.635
11 Li 0.262 0.520 0.135
12 Li 0.262 0.480 0.865
13 Li 0.762 0.980 0.635
14 Li 0.762 0.020 0.365
15 Li 0.738 0.480 0.865
16 Li 0.738 0.520 0.135
17 Li 0.000 0.205 0.422
18 Li 0.000 0.795 0.578
19 Li 0.500 0.705 0.078
20 Li 0.500 0.295 0.922
21 Ta 0.000 0.286 0.137
22 Ta 0.000 0.714 0.863
23 Ta 0.500 0.786 0.363
24 Ta 0.500 0.214 0.637
25 N 0.235 0.302 0.018
26 N 0.235 0.698 0.982
27 N 0.265 0.802 0.482
28 N 0.265 0.198 0.518
29 N 0.765 0.698 0.982
30 N 0.765 0.302 0.018
31 N 0.735 0.198 0.518
32 N 0.735 0.802 0.482
33 N 0.000 0.073 0.221
34 N 0.000 0.927 0.779
35 N 0.500 0.573 0.279
36 N 0.500 0.427 0.721
37 N 0.000 0.454 0.284
38 N 0.000 0.546 0.716
39 N 0.500 0.954 0.216
40 N 0.500 0.046 0.784

Values from the calculation:
D(E_F) ... 0.000 states/eV per atom
Formation energy from raw total energies ... -1.114 eV per atom
DFT total energy ... -16.6611 eV per atom

# 19
Computed, not measured: a crystal of Sr2BBrN2 relaxed with PBEsol at the meta-GGA SCAN level of DFT.

Unit cell a=4.085 b=4.085 c=9.120 alpha=77.06 beta=77.06 gamma=60.00
Atoms (fractional coordinates):
1 Sr 0.248 0.248 0.255
2 Sr 0.752 0.752 0.745
3 B 0.500 0.500 0.500
4 Br 0.000 0.000 0.000
5 N 0.449 0.449 0.653
6 N 0.551 0.551 0.347

Values from the calculation:
D(E_F) ... 0.000 states/eV per atom
Formation energy from raw total energies ... -1.632 eV per atom
DFT total energy ... -16.6354 eV per atom

# 20
Computed, not measured: a crystal of Ti2SbO relaxed with PBEsol at the meta-GGA SCAN level of DFT.

Unit cell a=4.413 b=4.413 c=4.413 alpha=60.00 beta=60.00 gamma=60.00
Atoms (fractional coordinates):
1 Sb 0.500 0.500 0.500
2 O 0.000 0.000 0.000
3 Ti 0.250 0.250 0.250
4 Ti 0.750 0.750 0.750

Values from the calculation:
D(E_F) ... 0.638 states/eV per atom
Formation energy from raw total energies ... -0.560 eV per atom
DFT total energy ... -19.4479 eV per atom

# 21
Computed, not measured: a crystal of Zr2ZnCd relaxed with PBEsol at the meta-GGA SCAN level of DFT.

Unit cell a=2.940 b=4.028 c=6.478 alpha=90.00 beta=90.00 gamma=90.00
Atoms (fractional coordinates):
1 Zn 0.500 0.500 0.500
2 Zr 0.000 0.000 0.734
3 Zr 0.000 0.000 0.266
4 Cd 0.500 0.500 0.000

Values from the calculation:
D(E_F) ... 0.608 states/eV per atom
Excess energy over the best structure of this formula in the dataset ... 0.2 meV/atom
Energy of formation ... -0.25 eV per atom
DFT total energy ... -26.5780 eV per atom

# 22
Computed, not measured: a crystal of KAl2Ir relaxed with PBEsol at the meta-GGA SCAN level of DFT.

Unit cell a=3.047 b=3.047 c=9.920 alpha=81.17 beta=81.17 gamma=60.00
Atoms (fractional coordinates):
1 K 0.000 0.000 0.000
2 Ir 0.500 0.500 0.500
3 Al 0.230 0.230 0.310
4 Al 0.770 0.770 0.690

Values from the calculation:
D(E_F) ... 0.509 states/eV per atom
Excess energy over the best structure of this formula in the dataset ... 203.8 meV/atom
Energy of formation ... -0.02 eV per atom
DFT total energy ... -23.7570 eV per atom